Here is a relaxed Sm3Sb2P crystal from Alexandria via LeMat-Bulk. Energies are from GGA-PBE.

Computed properties:
V = 29.17 A^3/atom

Structure (CIF):
```
data_Sm3Sb2P
_chemical_formula_sum 'Sm12 Sb8 P4'
_cell_length_a 7.593
_cell_length_b 13.044
_cell_length_c 7.488
_cell_angle_alpha 90.00
_cell_angle_beta 109.28
_cell_angle_gamma 90.00
_symmetry_space_group_name_H-M 'C 1 2/c 1'
_symmetry_Int_Tables_number 15
_symmetry_space_group_name_Hall '-C 2yc'
loop_
_atom_site_label
_atom_site_fract_x
_atom_site_fract_y
_atom_site_fract_z
Sm1 0.227 0.077 0.498
Sm2 0.250 0.250 0.000
Sb1 0.000 0.256 0.250
Sb2 0.000 0.417 0.750
P1 0.000 0.085 0.750
```



Here is a relaxed Sm6SbP5 crystal from Alexandria via LeMat-Bulk. Energies are from GGA-PBE.

Computed properties:
V = 25.62 A^3/atom

Structure (CIF):
```
data_Sm6SbP5
_chemical_formula_sum 'Sm12 Sb2 P10'
_cell_length_a 7.229
_cell_length_b 12.507
_cell_length_c 7.214
_cell_angle_alpha 90.00
_cell_angle_beta 109.51
_cell_angle_gamma 90.00
_symmetry_space_group_name_H-M 'C 1 2/m 1'
_symmetry_Int_Tables_number 12
_symmetry_space_group_name_Hall '-C 2y'
loop_
_atom_site_label
_atom_site_fract_x
_atom_site_fract_y
_atom_site_fract_z
Sm1 0.238 0.000 0.257
Sm2 0.240 0.174 0.743
Sb1 0.000 0.500 0.000
P1 0.000 0.000 0.500
P2 0.000 0.167 0.000
P3 0.000 0.336 0.500
```



Here is a relaxed Sm4SbP3 crystal from Alexandria via LeMat-Bulk. Energies are from GGA-PBE.

Computed properties:
V = 26.23 A^3/atom

Structure (CIF):
```
data_Sm4SbP3
_chemical_formula_sum 'Sm4 Sb1 P3'
_cell_length_a 4.176
_cell_length_b 5.958
_cell_length_c 8.434
_cell_angle_alpha 90.00
_cell_angle_beta 90.00
_cell_angle_gamma 90.00
_symmetry_space_group_name_H-M 'P m m m'
_symmetry_Int_Tables_number 47
_symmetry_space_group_name_Hall '-P 2 2'
loop_
_atom_site_label
_atom_site_fract_x
_atom_site_fract_y
_atom_site_fract_z
Sm1 0.000 0.000 0.000
Sm2 0.000 0.000 0.500
Sm3 0.500 0.500 0.231
Sb1 0.000 0.500 0.500
P1 0.000 0.500 0.000
P2 0.500 0.000 0.247
```



Here is a relaxed Sm2SbP crystal from Alexandria via LeMat-Bulk. Energies are from GGA-PBE.

Computed properties:
V = 27.83 A^3/atom

Structure (CIF):
```
data_Sm2SbP
_chemical_formula_sum 'Sm6 Sb3 P3'
_cell_length_a 4.2537
_cell_length_b 4.2537
_cell_length_c 21.3096
_cell_angle_alpha 90.00
_cell_angle_beta 90.00
_cell_angle_gamma 120.00
_symmetry_space_group_name_H-M 'R -3 m'
_symmetry_Int_Tables_number 166
_symmetry_space_group_name_Hall '-R 3 2"'
loop_
_atom_site_label
_atom_site_fract_x
_atom_site_fract_y
_atom_site_fract_z
Sm1 0.0000 0.0000 0.2420
Sb1 0.0000 0.0000 0.0000
P1 0.0000 0.0000 0.5000
```



Here is a relaxed Sm3SbP crystal from Alexandria via LeMat-Bulk. Energies are from GGA-PBE.

Computed properties:
V = 31.46 A^3/atom

Structure (CIF):
```
data_Sm3SbP
_chemical_formula_sum 'Sm24 Sb8 P8'
_cell_length_a 14.928
_cell_length_b 11.903
_cell_length_c 7.240
_cell_angle_alpha 90.00
_cell_angle_beta 102.05
_cell_angle_gamma 90.00
_symmetry_space_group_name_H-M 'C 1 2/c 1'
_symmetry_Int_Tables_number 15
_symmetry_space_group_name_Hall '-C 2yc'
loop_
_atom_site_label
_atom_site_fract_x
_atom_site_fract_y
_atom_site_fract_z
Sm1 0.101 0.067 0.429
Sm2 0.102 0.245 0.966
Sm3 0.109 0.420 0.465
Sb1 0.246 0.105 0.797
P1 0.000 0.251 0.250
P2 0.000 0.415 0.750
```



Here is a relaxed SmSbP crystal from Alexandria via LeMat-Bulk. Energies are from GGA-PBE.

Computed properties:
V = 29.08 A^3/atom

Structure (CIF):
```
data_SmSbP
_chemical_formula_sum 'Sm4 Sb4 P4'
_cell_length_a 3.994
_cell_length_b 3.994
_cell_length_c 21.874
_cell_angle_alpha 90.00
_cell_angle_beta 90.00
_cell_angle_gamma 90.00
_symmetry_space_group_name_H-M 'I 4/m m m'
_symmetry_Int_Tables_number 139
_symmetry_space_group_name_Hall '-I 4 2'
loop_
_atom_site_label
_atom_site_fract_x
_atom_site_fract_y
_atom_site_fract_z
Sm1 0.000 0.000 0.173
Sb1 0.000 0.000 0.421
P1 0.000 0.000 0.305
```



Here is a relaxed Sm5SbP4 crystal from Alexandria via LeMat-Bulk. Energies are from GGA-PBE.

Computed properties:
V = 25.83 A^3/atom

Structure (CIF):
```
data_Sm5SbP4
_chemical_formula_sum 'Sm10 Sb2 P8'
_cell_length_a 13.885
_cell_length_b 4.159
_cell_length_c 10.292
_cell_angle_alpha 90.00
_cell_angle_beta 119.66
_cell_angle_gamma 90.00
_symmetry_space_group_name_H-M 'C 1 2/m 1'
_symmetry_Int_Tables_number 12
_symmetry_space_group_name_Hall '-C 2y'
loop_
_atom_site_label
_atom_site_fract_x
_atom_site_fract_y
_atom_site_fract_z
Sm1 0.000 0.000 0.000
Sm2 0.108 0.500 0.390
Sm3 0.206 0.000 0.813
Sb1 0.000 0.000 0.500
P1 0.098 0.500 0.899
P2 0.202 0.000 0.295
```



Here is a relaxed TbSmSbP crystal from Alexandria via LeMat-Bulk. Energies are from GGA-PBE.

Computed properties:
V = 27.45 A^3/atom

Structure (CIF):
```
data_TbSmSbP
_chemical_formula_sum 'Tb3 Sm3 Sb3 P3'
_cell_length_a 4.1772
_cell_length_b 4.1772
_cell_length_c 21.7983
_cell_angle_alpha 90.00
_cell_angle_beta 90.00
_cell_angle_gamma 120.00
_symmetry_space_group_name_H-M 'R 3 m'
_symmetry_Int_Tables_number 160
_symmetry_space_group_name_Hall 'R 3 -2"'
loop_
_atom_site_label
_atom_site_fract_x
_atom_site_fract_y
_atom_site_fract_z
Tb1 0.0000 0.0000 0.0000
Sm1 0.0000 0.0000 0.8138
Sb1 0.0000 0.0000 0.5756
P1 0.0000 0.0000 0.4037
```



Listing E_form (uncorrected) for the structures above in their given order: -121.7 -142.4 -137.2 -129.7 -96.1 -76.2 -141.2 -120.8 kJ per mole of atoms.
Listing spin magnetization for the structures above in their given order: 0.0 0.0 0.0 0.0 0.3 0.0 0.0 0.0 μB/f.u..